The following is a PBE-GGA calculation of Al7Cr6 after structural relaxation, from the Alexandria database.

Cell and atoms, written as POSCAR:
```
Al7Cr6
1.0
2.495 1.441 8.594
-2.495 1.441 8.594
0.000 -2.881 8.594
Al Cr
7 6
Cartesian
0.000 0.000 0.000 Al
0.000 -1.426 6.434 Al
-1.235 0.713 6.434 Al
-1.235 -0.713 19.347 Al
1.235 0.713 6.434 Al
1.235 -0.713 19.347 Al
0.000 1.426 19.347 Al
0.000 0.000 4.290 Cr
0.000 0.000 9.056 Cr
0.000 0.000 11.911 Cr
0.000 0.000 13.871 Cr
0.000 0.000 16.726 Cr
0.000 0.000 21.492 Cr
```

Computed properties:
E_form (eV/atom): 0.154
Space-group type: R-3m (166)
Crystal system: trigonal